Density functional theory data (meta-GGA SCAN) for a crystal of Ti2CoSi2 relaxed with PBEsol.

Properties
Formation energy from raw total energies ... -0.73 eV/atom

Unit cell a=3.883 b=5.879 c=5.879 alpha=90.00 beta=90.00 gamma=90.00
Sites, in units of the cell vectors:
Si 0.000 0.857 0.643
Ti 0.500 0.336 0.164
Si 0.000 0.143 0.357
Co 0.000 0.000 0.000
Ti 0.500 0.664 0.836
Si 0.000 0.357 0.857
Ti 0.500 0.164 0.664
Ti 0.500 0.836 0.336
Co 0.000 0.500 0.500
Si 0.000 0.643 0.143


Density functional theory data (meta-GGA SCAN) for a crystal of Ti3CoSi relaxed with PBEsol.

Properties
Formation energy from raw total energies ... 0.54 eV/atom

Unit cell a=4.511 b=4.511 c=4.511 alpha=90.00 beta=90.00 gamma=90.00
Sites, in units of the cell vectors:
Si 0.000 0.000 0.000
Co 0.500 0.500 0.500
Ti 0.500 0.000 0.000
Ti 0.000 0.000 0.500
Ti 0.000 0.500 0.000